Entry 1:
The following is a GGA-PBE calculation of a relaxed Fe2AsRu crystal, from Alexandria via LeMat-Bulk.

a b c (Å): 3.0441 4.1039 4.1794
angles (deg): 90.00 90.00 90.00
Fractional coordinates of all 4 atoms:
Fe: 0.0000 0.0000 0.0000
Fe: 0.5000 0.5000 0.0000
As: 0.0000 0.5000 0.5000
Ru: 0.5000 0.0000 0.5000

Summary:
**Energy of formation from the pure elements**: 0.055 eV per atom
**Theoretical density**: 9.15 Mg/m³
**Fermi-level density of states**: 3.05 states/eV per cell
**Total magnetization**: 4.964 μB per cell
**Space-group type**: Pmmm

Entry 2:
The following is a GGA-PBE calculation of a relaxed La2AlAu crystal, from Alexandria via LeMat-Bulk.

a b c (Å): 3.7343 3.7343 7.8358
angles (deg): 90.00 90.00 90.00
Fractional coordinates of all 4 atoms:
La: 0.0000 0.0000 0.2482
La: 0.0000 0.0000 0.7518
Al: 0.5000 0.5000 0.5000
Au: 0.5000 0.5000 0.0000

Summary:
**Energy of formation from the pure elements**: -0.559 eV per atom
**Theoretical density**: 7.62 Mg/m³
**Fermi-level density of states**: 3.79 states/eV per cell
**Total magnetization**: 0.003 μB per cell
**Space-group type**: P4/mmm

Entry 3:
The following is a GGA-PBE calculation of a relaxed Hf2ThSn crystal, from Alexandria via LeMat-Bulk.

a b c (Å): 7.2527 7.2527 7.2527
angles (deg): 90.00 90.00 90.00
Fractional coordinates of all 16 atoms:
Hf: 0.2500 0.2500 0.2500
Hf: 0.2500 0.2500 0.7500
Hf: 0.2500 0.7500 0.2500
Hf: 0.2500 0.7500 0.7500
Hf: 0.7500 0.2500 0.2500
Hf: 0.7500 0.2500 0.7500
Hf: 0.7500 0.7500 0.2500
Hf: 0.7500 0.7500 0.7500
Th: 0.0000 0.0000 0.0000
Th: 0.0000 0.5000 0.5000
Th: 0.5000 0.0000 0.5000
Th: 0.5000 0.5000 0.0000
Sn: 0.0000 0.0000 0.5000
Sn: 0.0000 0.5000 0.0000
Sn: 0.5000 0.0000 0.0000
Sn: 0.5000 0.5000 0.5000

Summary:
**Energy of formation from the pure elements**: -0.044 eV per atom
**Theoretical density**: 12.32 Mg/m³
**Energy relative to the lowest polymorph listed for this composition**: 147 meV/atom
**Fermi-level density of states**: 26.61 states/eV per cell
**Total magnetization**: 0.001 μB per cell
**Space-group type**: Fm-3m

Entry 4:
The following is a GGA-PBE calculation of a relaxed Li2SbBr crystal, from Alexandria via LeMat-Bulk.

a b c (Å): 3.7401 3.7401 17.4807
angles (deg): 90.00 90.00 90.00
Fractional coordinates of all 8 atoms:
Li: 0.0000 0.0000 0.0000
Li: 0.0000 0.5000 0.2500
Li: 0.5000 0.0000 0.7500
Li: 0.5000 0.5000 0.5000
Sb: 0.0000 0.5000 0.7500
Sb: 0.5000 0.0000 0.2500
Br: 0.0000 0.0000 0.5000
Br: 0.5000 0.5000 0.0000

Summary:
**Theoretical density**: 2.93 Mg/m³
**Energy relative to the lowest polymorph listed for this composition**: 300 meV/atom
**Fermi-level density of states**: 3.29 states/eV per cell
**Total magnetization**: 0.000 μB per cell
**Space-group type**: I-4m2

Entry 5:
The following is a GGA-PBE calculation of a relaxed Tl2HgP2 crystal, from Alexandria via LeMat-Bulk.

a b c (Å): 7.6119 7.6119 4.1424
angles (deg): 90.00 90.00 90.00
Fractional coordinates of all 10 atoms:
Tl: 0.1533 0.3467 0.0000
Tl: 0.3467 0.8467 0.0000
Tl: 0.6533 0.1533 0.0000
Tl: 0.8467 0.6533 0.0000
Hg: 0.0000 0.0000 0.5000
Hg: 0.5000 0.5000 0.5000
P: 0.1611 0.6611 0.5000
P: 0.3389 0.1611 0.5000
P: 0.6611 0.8389 0.5000
P: 0.8389 0.3389 0.5000

Summary:
**Energy of formation from the pure elements**: 0.408 eV per atom
**Theoretical density**: 9.29 Mg/m³
**Energy relative to the lowest polymorph listed for this composition**: 294 meV/atom
**Fermi-level density of states**: 3.06 states/eV per cell
**Total magnetization**: 0.000 μB per cell
**Space-group type**: P4/mbm

Entry 6:
The following is a GGA-PBE calculation of a relaxed CdCo2Pb crystal, from Alexandria via LeMat-Bulk.

a b c (Å): 11.8438 2.9892 4.4704
angles (deg): 90.00 111.69 90.00
Fractional coordinates of all 8 atoms:
Cd: 0.0000 0.0000 0.0000
Cd: 0.5000 0.5000 0.0000
Co: 0.0110 0.5000 0.5111
Co: 0.1741 0.0000 0.6746
Co: 0.5110 0.0000 0.5111
Co: 0.6741 0.5000 0.6746
Pb: 0.2798 0.5000 0.2799
Pb: 0.7798 0.0000 0.2799

Summary:
**Energy of formation from the pure elements**: 0.439 eV per atom
**Theoretical density**: 9.88 Mg/m³
**Energy relative to the lowest polymorph listed for this composition**: 137 meV/atom
**Fermi-level density of states**: 9.80 states/eV per cell
**Total magnetization**: 5.914 μB per cell
**Space-group type**: Cm

Entry 7:
The following is a GGA-PBE calculation of a relaxed Dy2CdSn4 crystal, from Alexandria via LeMat-Bulk.

a b c (Å): 4.4535 4.4535 9.5741
angles (deg): 90.00 90.00 90.00
Fractional coordinates of all 7 atoms:
Dy: 0.0000 0.5000 0.2416
Dy: 0.5000 0.0000 0.7584
Cd: 0.5000 0.5000 0.0000
Sn: 0.0000 0.0000 0.5000
Sn: 0.0000 0.5000 0.8058
Sn: 0.5000 0.0000 0.1942
Sn: 0.5000 0.5000 0.5000

Summary:
**Energy of formation from the pure elements**: -0.378 eV per atom
**Theoretical density**: 7.98 Mg/m³
**Energy relative to the lowest polymorph listed for this composition**: 51 meV/atom
**Fermi-level density of states**: 4.08 states/eV per cell
**Total magnetization**: 0.000 μB per cell
**Space-group type**: P-4m2

Entry 8:
The following is a GGA-PBE calculation of a relaxed NaTlCl4 crystal, from Alexandria via LeMat-Bulk.

a b c (Å): 6.8375 6.7527 7.0091
angles (deg): 90.00 99.82 90.00
Fractional coordinates of all 12 atoms:
Na: 0.0000 0.0000 0.0000
Na: 0.0000 0.5000 0.5000
Tl: 0.5000 0.0000 0.5000
Tl: 0.5000 0.5000 0.0000
Cl: 0.1660 0.1470 0.3716
Cl: 0.1660 0.3530 0.8716
Cl: 0.3528 0.6677 0.3020
Cl: 0.3528 0.8323 0.8020
Cl: 0.6472 0.1677 0.1980
Cl: 0.6472 0.3323 0.6980
Cl: 0.8340 0.6470 0.1284
Cl: 0.8340 0.8530 0.6284

Summary:
**Theoretical density**: 3.84 Mg/m³
**Energy relative to the lowest polymorph listed for this composition**: 21 meV/atom
**Fermi-level density of states**: 0.00 states/eV per cell
**Total magnetization**: 0.000 μB per cell
**Space-group type**: P2_1/c

Entry 9:
The following is a GGA-PBE calculation of a relaxed Mn3CuSn2S8 crystal, from Alexandria via LeMat-Bulk.

a b c (Å): 7.4900 7.4900 7.4900
angles (deg): 57.55 57.55 57.55
Fractional coordinates of all 14 atoms:
Mn: 0.1746 0.1746 0.6508
Mn: 0.1746 0.6508 0.1746
Mn: 0.6508 0.1746 0.1746
Cu: 0.5376 0.5376 0.5376
Sn: 0.1710 0.1710 0.1710
Sn: 0.8008 0.8008 0.8008
S: 0.3773 0.9160 0.9160
S: 0.4113 0.4113 0.4113
S: 0.4199 0.4199 0.9335
S: 0.4199 0.9335 0.4199
S: 0.9160 0.3773 0.9160
S: 0.9160 0.9160 0.3773
S: 0.9335 0.4199 0.4199
S: 0.9400 0.9400 0.9400

Summary:
**DFT total energy**: -5.629 eV/atom
**Theoretical density**: 4.28 Mg/m³
**Fermi-level density of states**: 6.49 states/eV per cell
**Total magnetization**: 10.686 μB per cell
**Space-group type**: R3m

Entry 10:
The following is a GGA-PBE calculation of a relaxed Ba2Sn2AsP2 crystal, from Alexandria via LeMat-Bulk.

a b c (Å): 13.0480 3.9967 9.2631
angles (deg): 90.00 119.58 90.00
Fractional coordinates of all 14 atoms:
Ba: 0.0600 0.0000 0.3220
Ba: 0.4400 0.5000 0.6780
Ba: 0.5600 0.5000 0.3220
Ba: 0.9400 0.0000 0.6780
Sn: 0.2391 0.5000 0.1349
Sn: 0.2609 0.0000 0.8651
Sn: 0.7391 0.0000 0.1349
Sn: 0.7609 0.5000 0.8651
As: 0.0000 0.5000 0.0000
As: 0.5000 0.0000 0.0000
P: 0.1753 0.5000 0.6501
P: 0.3247 0.0000 0.3499
P: 0.6753 0.0000 0.6501
P: 0.8247 0.5000 0.3499

Summary:
**Energy of formation from the pure elements**: -0.588 eV per atom
**Theoretical density**: 5.13 Mg/m³
**Fermi-level density of states**: 3.63 states/eV per cell
**Total magnetization**: 0.000 μB per cell
**Space-group type**: C2/m

Entry 11:
The following is a GGA-PBE calculation of a relaxed CrPt2 crystal, from Alexandria via LeMat-Bulk.

a b c (Å): 5.2574 5.2574 5.2574
angles (deg): 60.00 60.00 60.00
Fractional coordinates of all 6 atoms:
Cr: 0.1250 0.1250 0.1250
Cr: 0.8750 0.8750 0.8750
Pt: 0.0000 0.5000 0.5000
Pt: 0.5000 0.0000 0.5000
Pt: 0.5000 0.5000 0.0000
Pt: 0.5000 0.5000 0.5000

Summary:
**Energy of formation from the pure elements**: 0.099 eV per atom
**Theoretical density**: 14.29 Mg/m³
**Fermi-level density of states**: 10.43 states/eV per cell
**Total magnetization**: 8.769 μB per cell
**Space-group type**: Fd-3m

Entry 12:
The following is a GGA-PBE calculation of a relaxed CsAgBr2 crystal, from Alexandria via LeMat-Bulk.

a b c (Å): 8.0601 8.0601 8.0601
angles (deg): 90.00 90.00 90.00
Fractional coordinates of all 16 atoms:
Cs: 0.0000 0.0000 0.0000
Cs: 0.0000 0.5000 0.5000
Cs: 0.5000 0.0000 0.5000
Cs: 0.5000 0.5000 0.0000
Ag: 0.0000 0.0000 0.5000
Ag: 0.0000 0.5000 0.0000
Ag: 0.5000 0.0000 0.0000
Ag: 0.5000 0.5000 0.5000
Br: 0.2500 0.2500 0.2500
Br: 0.2500 0.2500 0.7500
Br: 0.2500 0.7500 0.2500
Br: 0.2500 0.7500 0.7500
Br: 0.7500 0.2500 0.2500
Br: 0.7500 0.2500 0.7500
Br: 0.7500 0.7500 0.2500
Br: 0.7500 0.7500 0.7500

Summary:
**Theoretical density**: 5.08 Mg/m³
**Energy relative to the lowest polymorph listed for this composition**: 309 meV/atom
**Fermi-level density of states**: 0.00 states/eV per cell
**Total magnetization**: 0.000 μB per cell
**Space-group type**: Fm-3m

Entry 13:
The following is a GGA-PBE calculation of a relaxed RbHgTe3 crystal, from Alexandria via LeMat-Bulk.

a b c (Å): 5.7794 5.7794 5.7794
angles (deg): 90.00 90.00 90.00
Fractional coordinates of all 5 atoms:
Rb: 0.0000 0.0000 0.0000
Hg: 0.5000 0.5000 0.5000
Te: 0.0000 0.5000 0.5000
Te: 0.5000 0.0000 0.5000
Te: 0.5000 0.5000 0.0000

Summary:
**Theoretical density**: 5.75 Mg/m³
**Energy relative to the lowest polymorph listed for this composition**: 134 meV/atom
**Fermi-level density of states**: 6.77 states/eV per cell
**Total magnetization**: 0.000 μB per cell
**Space-group type**: Pm-3m

Entry 14:
The following is a GGA-PBE calculation of a relaxed B2Mo2Cl crystal, from Alexandria via LeMat-Bulk.

a b c (Å): 6.3725 6.3725 3.0092
angles (deg): 90.00 90.00 90.00
Fractional coordinates of all 10 atoms:
B: 0.1005 0.3995 0.0000
B: 0.3995 0.8995 0.0000
B: 0.6005 0.1005 0.0000
B: 0.8995 0.6005 0.0000
Mo: 0.1652 0.6652 0.5000
Mo: 0.3348 0.1652 0.5000
Mo: 0.6652 0.8348 0.5000
Mo: 0.8348 0.3348 0.5000
Cl: 0.0000 0.0000 0.5000
Cl: 0.5000 0.5000 0.5000

Summary:
**Theoretical density**: 6.77 Mg/m³
**Energy relative to the lowest polymorph listed for this composition**: 0 meV/atom
**Fermi-level density of states**: 5.99 states/eV per cell
**Total magnetization**: 0.000 μB per cell
**Space-group type**: P4/mbm

Entry 15:
The following is a GGA-PBE calculation of a relaxed Hg2IBr2 crystal, from Alexandria via LeMat-Bulk.

a b c (Å): 8.7425 8.7425 5.3167
angles (deg): 90.00 90.00 90.00
Fractional coordinates of all 10 atoms:
Hg: 0.1984 0.3016 0.0000
Hg: 0.3016 0.8016 0.0000
Hg: 0.6984 0.1984 0.0000
Hg: 0.8016 0.6984 0.0000
I: 0.0000 0.0000 0.0000
I: 0.5000 0.5000 0.0000
Br: 0.1654 0.3346 0.5000
Br: 0.3346 0.8346 0.5000
Br: 0.6654 0.1654 0.5000
Br: 0.8346 0.6654 0.5000

Summary:
**Theoretical density**: 5.62 Mg/m³
**Energy relative to the lowest polymorph listed for this composition**: 167 meV/atom
**Fermi-level density of states**: 2.27 states/eV per cell
**Total magnetization**: 0.000 μB per cell
**Space-group type**: P4/mbm

Entry 16:
The following is a GGA-PBE calculation of a relaxed SrBPO2 crystal, from Alexandria via LeMat-Bulk.

a b c (Å): 4.1763 4.1763 3.7026
angles (deg): 90.00 90.00 90.00
Fractional coordinates of all 5 atoms:
Sr: 0.0000 0.0000 0.0000
B: 0.5000 0.5000 0.5000
P: 0.5000 0.5000 0.0000
O: 0.0000 0.5000 0.5000
O: 0.5000 0.0000 0.5000

Summary:
**Theoretical density**: 4.15 Mg/m³
**Energy relative to the lowest polymorph listed for this composition**: 0 meV/atom
**Fermi-level density of states**: 2.39 states/eV per cell
**Total magnetization**: 0.000 μB per cell
**Space-group type**: P4/mmm

Entry 17:
The following is a GGA-PBE calculation of a relaxed Li4Tl2Bi crystal, from Alexandria via LeMat-Bulk.

a b c (Å): 5.2490 5.2490 14.4562
angles (deg): 90.00 90.00 90.00
Fractional coordinates of all 14 atoms:
Li: 0.0000 0.0000 0.1916
Li: 0.0000 0.0000 0.8084
Li: 0.0000 0.5000 0.0000
Li: 0.0000 0.5000 0.5000
Li: 0.5000 0.0000 0.0000
Li: 0.5000 0.0000 0.5000
Li: 0.5000 0.5000 0.3084
Li: 0.5000 0.5000 0.6916
Tl: 0.0000 0.0000 0.3860
Tl: 0.0000 0.0000 0.6140
Tl: 0.5000 0.5000 0.1140
Tl: 0.5000 0.5000 0.8860
Bi: 0.0000 0.0000 0.0000
Bi: 0.5000 0.5000 0.5000

Summary:
**Energy of formation from the pure elements**: -0.089 eV per atom
**Theoretical density**: 5.38 Mg/m³
**Energy relative to the lowest polymorph listed for this composition**: 177 meV/atom
**Fermi-level density of states**: 5.83 states/eV per cell
**Total magnetization**: 0.000 μB per cell
**Space-group type**: I4/mmm

Entry 18:
The following is a GGA-PBE calculation of a relaxed HfMgZrNi2 crystal, from Alexandria via LeMat-Bulk.

a b c (Å): 4.3523 4.3523 4.9715
angles (deg): 90.00 90.00 90.00
Fractional coordinates of all 5 atoms:
Hf: 0.0000 0.0000 0.0000
Mg: 0.0000 0.0000 0.5000
Zr: 0.5000 0.5000 0.0000
Ni: 0.0000 0.5000 0.5000
Ni: 0.5000 0.0000 0.5000

Summary:
**Energy of formation from the pure elements**: 0.901 eV per atom
**Theoretical density**: 7.25 Mg/m³
**Fermi-level density of states**: 6.81 states/eV per cell
**Total magnetization**: 0.000 μB per cell
**Space-group type**: P4/mmm

Entry 19:
The following is a GGA-PBE calculation of a relaxed BeCl3 crystal, from Alexandria via LeMat-Bulk.

a b c (Å): 5.6433 12.2828 5.8542
angles (deg): 90.00 90.00 90.00
Fractional coordinates of all 16 atoms:
Be: 0.1870 0.2500 0.1313
Be: 0.3130 0.7500 0.6313
Be: 0.6870 0.2500 0.3687
Be: 0.8130 0.7500 0.8687
Cl: 0.0635 0.6262 0.7503
Cl: 0.0635 0.8738 0.7503
Cl: 0.1871 0.2500 0.7852
Cl: 0.3129 0.7500 0.2852
Cl: 0.4365 0.1262 0.2503
Cl: 0.4365 0.3738 0.2503
Cl: 0.5635 0.6262 0.7497
Cl: 0.5635 0.8738 0.7497
Cl: 0.6871 0.2500 0.7148
Cl: 0.8129 0.7500 0.2148
Cl: 0.9365 0.1262 0.2497
Cl: 0.9365 0.3738 0.2497

Summary:
**Theoretical density**: 1.89 Mg/m³
**Energy relative to the lowest polymorph listed for this composition**: 31 meV/atom
**Fermi-level density of states**: 7.86 states/eV per cell
**Total magnetization**: 1.384 μB per cell
**Space-group type**: Pnma

Entry 20:
The following is a GGA-PBE calculation of a relaxed YZn2Tc crystal, from Alexandria via LeMat-Bulk.

a b c (Å): 4.1865 4.1865 18.7631
angles (deg): 90.00 90.00 90.00
Fractional coordinates of all 16 atoms:
Y: 0.0000 0.0000 0.0000
Y: 0.0000 0.5000 0.2500
Y: 0.5000 0.0000 0.7500
Y: 0.5000 0.5000 0.5000
Zn: 0.1445 0.2500 0.6250
Zn: 0.2500 0.6445 0.8750
Zn: 0.2500 0.8555 0.3750
Zn: 0.3555 0.2500 0.1250
Zn: 0.6445 0.7500 0.1250
Zn: 0.7500 0.1445 0.3750
Zn: 0.7500 0.3555 0.8750
Zn: 0.8555 0.7500 0.6250
Tc: 0.0000 0.0000 0.5000
Tc: 0.0000 0.5000 0.7500
Tc: 0.5000 0.0000 0.2500
Tc: 0.5000 0.5000 0.0000

Summary:
**Energy of formation from the pure elements**: 0.278 eV per atom
**Theoretical density**: 6.42 Mg/m³
**Energy relative to the lowest polymorph listed for this composition**: 369 meV/atom
**Fermi-level density of states**: 4.64 states/eV per cell
**Total magnetization**: 0.000 μB per cell
**Space-group type**: I-42d